The following is a DFT calculation (PBE) of crystalline Sm2TeH at its relaxed geometry.

a = 3.9350 Å, b = 3.9350 Å, c = 7.4801 Å
α = 74.75°, β = 74.75°, γ = 60.00°
Closest atoms and distances in Å follow each position.
Positions (direct):
1 Sm 0.2680 0.2680 0.1961  3 H 2.67
2 Sm 0.7320 0.7320 0.8039  3 H 2.67
3 H 0.0000 0.0000 0.0000  6 Sm 2.67
4 Te 0.5000 0.5000 0.5000  6 Sm 3.14

Values from the calculation:
Energy above the most stable polymorph in this dataset, meV per atom: 78.5
Theoretical density, Mg/m³: 7.460
Fermi-level density of states, states/eV per atom: 0.70
Magnetization, μB/f.u.: 0.0
Symmetry: R-3m, No. 166